No. 1
# PBE Dy2UOsC4, optimized geometry
data_Dy2UOsC4
_chemical_formula_sum 'Dy8 U4 Os4 C16'
_space_group_name_H-M_alt 'C m c m'
_space_group_IT_number 63
_space_group_name_Hall '-C 2c 2'
_cell_length_a 3.4504
_cell_length_b 11.7031
_cell_length_c 11.9988
_cell_angle_alpha 90.00
_cell_angle_beta 90.00
_cell_angle_gamma 90.00
loop_
_atom_site_label
_atom_site_type_symbol
_atom_site_fract_x
_atom_site_fract_y
_atom_site_fract_z
_atom_site_occupancy
Dy1 Dy 0.0000 0.1322 0.0416 1
U1 U 0.0000 0.3975 0.2500 1
Os1 Os 0.0000 0.3456 0.7500 1
C1 C 0.0000 0.0591 0.2500 1
C2 C 0.0000 0.2264 0.6385 1
C3 C 0.0000 0.5000 0.0000 1
# * final energy: -271.74 eV/cell
# * formation energy: 0.09 eV per atom

No. 2
# PBE TbCu4Si4, optimized geometry
data_TbCu4Si4
_chemical_formula_sum 'Tb2 Cu8 Si8'
_space_group_name_H-M_alt 'P 42/n m c'
_space_group_IT_number 137
_cell_length_a 5.7825
_cell_length_b 5.7825
_cell_length_c 8.1793
_cell_angle_alpha 90.00
_cell_angle_beta 90.00
_cell_angle_gamma 90.00
loop_
_space_group_symop_operation_xyz
'x,y,z'
'-x,-y,-z'
'-y+1/2,x,z+1/2'
'y+1/2,-x,-z+1/2'
'-x+1/2,-y+1/2,z'
'x+1/2,y+1/2,-z'
'y,-x+1/2,z+1/2'
'-y,x+1/2,-z+1/2'
'x+1/2,-y,-z'
'-x+1/2,y,z'
'-y,-x,-z+1/2'
'y,x,z+1/2'
'-x,y+1/2,-z'
'x,-y+1/2,z'
'y+1/2,x+1/2,-z+1/2'
'-y+1/2,-x+1/2,z+1/2'
loop_
_atom_site_label
_atom_site_type_symbol
_atom_site_fract_x
_atom_site_fract_y
_atom_site_fract_z
_atom_site_occupancy
Tb1 Tb 0.2500 0.7500 0.2500 1
Cu1 Cu 0.0174 0.2500 0.1617 1
Si1 Si 0.0431 0.2500 0.4529 1
# * final energy: -88.06 eV/cell
# * raw formation energy: -147 meV per atom

No. 3
# PBE PrTmSc6, optimized geometry
data_PrTmSc6
_chemical_formula_sum 'Pr1 Tm1 Sc6'
_space_group_name_H-M_alt 'P -6 m 2'
_space_group_IT_number 187
_space_group_name_Hall 'P -6 2'
_cell_length_a 6.7977
_cell_length_b 6.7977
_cell_length_c 5.3249
_cell_angle_alpha 90.00
_cell_angle_beta 90.00
_cell_angle_gamma 120.00
loop_
_atom_site_label
_atom_site_type_symbol
_atom_site_fract_x
_atom_site_fract_y
_atom_site_fract_z
_atom_site_occupancy
Pr1 Pr 0.0000 0.0000 0.0000 1
Tm1 Tm 0.6667 0.3333 0.5000 1
Sc1 Sc 0.0078 0.5039 0.0000 1
Sc2 Sc 0.1715 0.3430 0.5000 1
# * final energy: -47.01 eV/cell
# * formation energy: 0.03 eV per atom

No. 4
# PBE TaTeAs2, optimized geometry
data_TaTeAs2
_chemical_formula_sum 'Ta3 Te3 As6'
_space_group_name_H-M_alt 'R 3 m'
_space_group_IT_number 160
_space_group_name_Hall 'R 3 -2"'
_cell_length_a 3.3425
_cell_length_b 3.3425
_cell_length_c 27.3686
_cell_angle_alpha 90.00
_cell_angle_beta 90.00
_cell_angle_gamma 120.00
loop_
_atom_site_label
_atom_site_type_symbol
_atom_site_fract_x
_atom_site_fract_y
_atom_site_fract_z
_atom_site_occupancy
Ta1 Ta 0.0000 0.0000 0.0000 1
Te1 Te 0.0000 0.0000 0.7403 1
As1 As 0.0000 0.0000 0.2629 1
As2 As 0.0000 0.0000 0.5267 1
# * final energy: -71.79 eV/cell
# * raw formation energy: 91 meV per atom

No. 5
# PBE NaBrOF2, optimized geometry
data_NaBrOF2
_chemical_formula_sum 'Na1 Br1 O1 F2'
_space_group_name_H-M_alt 'P 4/m m m'
_space_group_IT_number 123
_space_group_name_Hall '-P 4 2'
_cell_length_a 4.5590
_cell_length_b 4.5590
_cell_length_c 3.9978
_cell_angle_alpha 90.00
_cell_angle_beta 90.00
_cell_angle_gamma 90.00
loop_
_atom_site_label
_atom_site_type_symbol
_atom_site_fract_x
_atom_site_fract_y
_atom_site_fract_z
_atom_site_occupancy
Na1 Na 0.0000 0.0000 0.0000 1
Br1 Br 0.5000 0.5000 0.5000 1
O1 O 0.5000 0.5000 0.0000 1
F1 F 0.0000 0.5000 0.5000 1
# * excess energy over the best structure of this formula in the dataset: 0.0000 eV/atom
# * final energy: -15.88 eV/cell
# * raw formation energy: -837 meV per atom

No. 6
# PBE Sm4MgZn2Hg, optimized geometry
data_Sm4MgZn2Hg
_chemical_formula_sum 'Sm12 Mg3 Zn6 Hg3'
_space_group_name_H-M_alt 'R -3 m'
_space_group_IT_number 166
_space_group_name_Hall '-R 3 2"'
_cell_length_a 5.2638
_cell_length_b 5.2638
_cell_length_c 26.0085
_cell_angle_alpha 90.00
_cell_angle_beta 90.00
_cell_angle_gamma 120.00
loop_
_atom_site_label
_atom_site_type_symbol
_atom_site_fract_x
_atom_site_fract_y
_atom_site_fract_z
_atom_site_occupancy
Sm1 Sm 0.0000 0.0000 0.1235 1
Sm2 Sm 0.0000 0.0000 0.3745 1
Mg1 Mg 0.0000 0.0000 0.5000 1
Zn1 Zn 0.0000 0.0000 0.2429 1
Hg1 Hg 0.0000 0.0000 0.0000 1
# * final energy: -76.91 eV/cell
# * formation energy: -0.29 eV per atom

No. 7
# PBE NaLiPmHg, optimized geometry
data_NaLiPmHg
_chemical_formula_sum 'Na4 Li4 Pm4 Hg4'
_space_group_name_H-M_alt 'F -4 3 m'
_space_group_IT_number 216
_space_group_name_Hall 'F -4 2 3'
_cell_length_a 7.4028
_cell_length_b 7.4028
_cell_length_c 7.4028
_cell_angle_alpha 90.00
_cell_angle_beta 90.00
_cell_angle_gamma 90.00
loop_
_atom_site_label
_atom_site_type_symbol
_atom_site_fract_x
_atom_site_fract_y
_atom_site_fract_z
_atom_site_occupancy
Na1 Na 0.0000 0.0000 0.0000 1
Li1 Li 0.2500 0.2500 0.2500 1
Pm1 Pm 0.0000 0.0000 0.5000 1
Hg1 Hg 0.2500 0.2500 0.7500 1
# * final energy: -34.93 eV/cell
# * formation energy: -0.11 eV per atom

No. 8
# PBE Ca2NiSe, optimized geometry
data_Ca2NiSe
_chemical_formula_sum 'Ca6 Ni3 Se3'
_space_group_name_H-M_alt 'R -3 m'
_space_group_IT_number 166
_space_group_name_Hall '-R 3 2"'
_cell_length_a 4.0939
_cell_length_b 4.0939
_cell_length_c 20.7927
_cell_angle_alpha 90.00
_cell_angle_beta 90.00
_cell_angle_gamma 120.00
loop_
_atom_site_label
_atom_site_type_symbol
_atom_site_fract_x
_atom_site_fract_y
_atom_site_fract_z
_atom_site_occupancy
Ca1 Ca 0.0000 0.0000 0.2494 1
Ni1 Ni 0.0000 0.0000 0.5000 1
Se1 Se 0.0000 0.0000 0.0000 1
# * final energy: -49.42 eV/cell
# * raw formation energy: -801 meV per atom

Copy entry 8 word for word.
# PBE Ca2NiSe, optimized geometry
data_Ca2NiSe
_chemical_formula_sum 'Ca6 Ni3 Se3'
_space_group_name_H-M_alt 'R -3 m'
_space_group_IT_number 166
_space_group_name_Hall '-R 3 2"'
_cell_length_a 4.0939
_cell_length_b 4.0939
_cell_length_c 20.7927
_cell_angle_alpha 90.00
_cell_angle_beta 90.00
_cell_angle_gamma 120.00
loop_
_atom_site_label
_atom_site_type_symbol
_atom_site_fract_x
_atom_site_fract_y
_atom_site_fract_z
_atom_site_occupancy
Ca1 Ca 0.0000 0.0000 0.2494 1
Ni1 Ni 0.0000 0.0000 0.5000 1
Se1 Se 0.0000 0.0000 0.0000 1
# * final energy: -49.42 eV/cell
# * raw formation energy: -801 meV per atom